Entry from Alexandria: crystalline Pm6Ag2Ir at its relaxed geometry (PBE).

Final energy: -5.032 eV/atom
E_form: -247 meV/atom
Crystal system: monoclinic

```
data_Pm6Ag2Ir
_chemical_formula_sum 'Pm12 Ag4 Ir2'
_symmetry_space_group_name_H-M 'P 1 21/c 1'
_symmetry_Int_Tables_number 14
_cell_length_a 6.771
_cell_length_b 7.716
_cell_length_c 12.215
_cell_angle_alpha 90.00
_cell_angle_beta 120.97
_cell_angle_gamma 90.00
loop_
_symmetry_equiv_pos_as_xyz
'x,y,z'
'-x,-y,-z'
'-x,y+1/2,-z+1/2'
'x,-y+1/2,z+1/2'
loop_
_atom_site_label
_atom_site_type_symbol
_atom_site_fract_x
_atom_site_fract_y
_atom_site_fract_z
Pm1 Pm 0.115 0.023 0.249
Pm2 Pm 0.214 0.683 0.063
Pm3 Pm 0.376 0.180 0.053
Ag1 Ag 0.319 0.113 0.753
Ir1 Ir 0.500 0.000 0.500
```